Entry 1:
# GGA-PBE AgMo2Os, relaxed
data_AgMo2Os
_chemical_formula_sum 'Ag3 Mo6 Os3'
_symmetry_space_group_name_H-M 'R 3 m'
_symmetry_Int_Tables_number 160
_symmetry_space_group_name_Hall 'R 3 -2"'
_cell_length_a 2.7792
_cell_length_b 2.7792
_cell_length_c 28.7046
_cell_angle_alpha 90.00
_cell_angle_beta 90.00
_cell_angle_gamma 120.00
loop_
_atom_site_label
_atom_site_type_symbol
_atom_site_fract_x
_atom_site_fract_y
_atom_site_fract_z
_atom_site_occupancy
Ag1 Ag 0.0000 0.0000 0.0000 1
Mo1 Mo 0.0000 0.0000 0.2466 1
Mo2 Mo 0.0000 0.0000 0.4950 1
Os1 Os 0.0000 0.0000 0.7539 1
# Final energy (eV/atom): -8.60
# E above lowest polymorph (meV per atom): 50
# Total magnetization (μB per atom): 0.00

=====

Entry 2:
# GGA-PBE AgMo2Os, relaxed
data_AgMo2Os
_chemical_formula_sum 'Ag1 Mo2 Os1'
_symmetry_space_group_name_H-M 'P 4 m m'
_symmetry_Int_Tables_number 99
_symmetry_space_group_name_Hall 'P 4 -2'
_cell_length_a 2.7726
_cell_length_b 2.7726
_cell_length_c 8.3682
_cell_angle_alpha 90.00
_cell_angle_beta 90.00
_cell_angle_gamma 90.00
loop_
_atom_site_label
_atom_site_type_symbol
_atom_site_fract_x
_atom_site_fract_y
_atom_site_fract_z
_atom_site_occupancy
Ag1 Ag 0.0000 0.0000 0.0000 1
Mo1 Mo 0.0000 0.0000 0.5228 1
Mo2 Mo 0.5000 0.5000 0.2654 1
Os1 Os 0.5000 0.5000 0.7357 1
# Final energy (eV/atom): -8.53
# E above lowest polymorph (meV per atom): 124
# Total magnetization (μB per atom): 0.00

=====

Entry 3:
# GGA-PBE AgMoOs2, relaxed
data_AgMoOs2
_chemical_formula_sum 'Ag1 Mo1 Os2'
_symmetry_space_group_name_H-M 'P 4/m m m'
_symmetry_Int_Tables_number 123
_symmetry_space_group_name_Hall '-P 4 2'
_cell_length_a 3.1648
_cell_length_b 3.1648
_cell_length_c 6.3309
_cell_angle_alpha 90.00
_cell_angle_beta 90.00
_cell_angle_gamma 90.00
loop_
_atom_site_label
_atom_site_type_symbol
_atom_site_fract_x
_atom_site_fract_y
_atom_site_fract_z
_atom_site_occupancy
Ag1 Ag 0.0000 0.0000 0.0000 1
Mo1 Mo 0.0000 0.0000 0.5000 1
Os1 Os 0.5000 0.5000 0.2760 1
# Final energy (eV/atom): -8.45
# E above lowest polymorph (meV per atom): 310
# Total magnetization (μB per atom): 0.00